Run w
Entry from the Alexandria database: an optimized crystal structure of PPbBr2N (PBE).

Values from the calculation:
total magnetization	1.02	μB per atom

abc: 5.835 5.835 5.556
angles: 90.00 90.00 90.00
Positions (direct):
P  0.000  0.000  0.000
Pb  0.000  0.000  0.500
Br  0.000  0.500  0.500
Br  0.500  0.000  0.500
N  0.500  0.500  0.000

=====

Run x
Entry from the Alexandria database: an optimized crystal structure of PPbBr2N (PBE).

Values from the calculation:
total magnetization	0.46	μB per atom

abc: 5.879 5.879 4.192
angles: 90.00 90.00 90.00
Positions (direct):
P  0.000  0.000  0.000
Pb  0.500  0.500  0.500
Br  0.000  0.500  0.500
Br  0.500  0.000  0.500
N  0.500  0.500  0.000

=====

Most stable structure: run w

=====

Run w
Entry from the Alexandria database: an optimized crystal structure of PSe2BrN (PBE).

Values from the calculation:
total magnetization	0.00	μB per atom

abc: 5.321 5.321 3.231
angles: 90.00 90.00 90.00
Positions (direct):
P  0.000  0.000  0.000
Se  0.000  0.500  0.000
Se  0.500  0.000  0.000
Br  0.500  0.500  0.500
N  0.000  0.000  0.500

=====

Run x
Entry from the Alexandria database: an optimized crystal structure of PSe2BrN (PBE).

Values from the calculation:
total magnetization	0.00	μB per atom

abc: 4.541 4.541 4.377
angles: 90.00 90.00 90.00
Positions (direct):
P  0.000  0.000  0.000
Se  0.000  0.500  0.500
Se  0.500  0.000  0.500
Br  0.500  0.500  0.000
N  0.500  0.500  0.500

=====

Run y
Entry from the Alexandria database: an optimized crystal structure of PSe2BrN (PBE).

Values from the calculation:
total magnetization	0.55	μB per atom

abc: 4.821 4.821 5.280
angles: 90.00 90.00 90.00
Positions (direct):
P  0.000  0.000  0.000
Se  0.000  0.500  0.000
Se  0.500  0.000  0.000
Br  0.000  0.000  0.500
N  0.500  0.500  0.500

=====

Most stable structure: run w

=====

Run w
Entry from the Alexandria database: an optimized crystal structure of PSeBr2N (PBE).

Values from the calculation:
total magnetization	0.00	μB per atom

abc: 4.462 4.462 4.791
angles: 90.00 90.00 90.00
Positions (direct):
P  0.000  0.000  0.000
Se  0.500  0.500  0.000
Br  0.000  0.500  0.500
Br  0.500  0.000  0.500
N  0.500  0.500  0.500

=====

Run x
Entry from the Alexandria database: an optimized crystal structure of PSeBr2N (PBE).

Values from the calculation:
total magnetization	0.50	μB per atom

abc: 5.216 5.216 4.787
angles: 90.00 90.00 90.00
Positions (direct):
P  0.000  0.000  0.000
Se  0.000  0.000  0.500
Br  0.000  0.500  0.000
Br  0.500  0.000  0.000
N  0.500  0.500  0.500

=====

Most stable structure: run x

=====

Run w
Entry from the Alexandria database: an optimized crystal structure of PSeBrN2 (PBE).

Values from the calculation:
total magnetization	0.11	μB per atom

abc: 3.551 3.551 6.057
angles: 90.00 90.00 90.00
Positions (direct):
P  0.000  0.000  0.000
Se  0.000  0.000  0.500
Br  0.500  0.500  0.500
N  0.000  0.500  0.000
N  0.500  0.000  0.000

=====

Run x
Entry from the Alexandria database: an optimized crystal structure of PSeBrN2 (PBE).

Values from the calculation:
total magnetization	0.22	μB per atom

abc: 3.763 3.763 7.864
angles: 90.00 90.00 90.00
Positions (direct):
P  0.000  0.000  0.000
Se  0.500  0.500  0.000
Br  0.500  0.500  0.500
N  0.000  0.500  0.500
N  0.500  0.000  0.500

=====

Most stable structure: run w

=====

Run w
Entry from the Alexandria database: an optimized crystal structure of TePBrN2 (PBE).

Values from the calculation:
total magnetization	0.13	μB per atom

abc: 3.753 3.753 5.790
angles: 90.00 90.00 90.00
Positions (direct):
Te  0.000  0.000  0.000
P  0.000  0.000  0.500
Br  0.500  0.500  0.000
N  0.000  0.500  0.500
N  0.500  0.000  0.500

=====

Run x
Entry from the Alexandria database: an optimized crystal structure of TePBrN2 (PBE).

Values from the calculation:
total magnetization	0.18	μB per atom

abc: 3.845 3.845 8.583
angles: 90.00 90.00 90.00
Positions (direct):
Te  0.000  0.000  0.000
P  0.500  0.500  0.000
Br  0.000  0.000  0.500
N  0.000  0.500  0.500
N  0.500  0.000  0.500

=====

Most stable structure: run w

=====

Run w
Entry from the Alexandria database: an optimized crystal structure of PbBr2N2 (PBE).

Values from the calculation:
total magnetization	0.00	μB per atom

abc: 7.477 7.477 3.791
angles: 90.00 90.00 90.00
Positions (direct):
Pb  0.000  0.000  0.000
Pb  0.500  0.500  0.000
Br  0.164  0.336  0.500
Br  0.336  0.836  0.500
Br  0.664  0.164  0.500
Br  0.836  0.664  0.500
N  0.248  0.252  0.000
N  0.252  0.752  0.000
N  0.748  0.248  0.000
N  0.752  0.748  0.000

=====

Run x
Entry from the Alexandria database: an optimized crystal structure of PbBr2N2 (PBE).

Values from the calculation:
total magnetization	0.00	μB per atom

abc: 5.452 5.452 5.452
angles: 117.54 117.54 94.32
Positions (direct):
Pb  0.000  0.000  0.000
Br  0.250  0.750  0.500
Br  0.750  0.250  0.500
N  0.425  0.425  0.000
N  0.575  0.575  0.000

=====

Most stable structure: run x